First-principles (GGA-PBE) data for BaCu9Sb4 after structural relaxation, as listed in the Alexandria database.

## Properties
The value obtained for the final energy is -113.50 eV for the cell shown. The calculation puts the density of states at the Fermi level at 0.281 states/eV/atom. The formation energy from raw total energies comes out at -10 kJ per mole of atoms. The symmetry is I4/mcm. The value obtained for the spin magnetization is 0.00 Bohr magnetons per cell.

Cell lengths 8.983, 8.983, 8.983 Å; angles 121.62, 121.62, 87.21 degrees
Positions (direct):
Ba 0.250 0.250 0.000
Ba 0.750 0.750 0.000
Cu 0.000 0.500 0.500
Cu 0.048 0.797 0.845
Cu 0.066 0.566 0.287
Cu 0.203 0.048 0.252
Cu 0.221 0.934 0.500
Cu 0.279 0.779 0.713
Cu 0.297 0.548 0.845
Cu 0.434 0.721 0.500
Cu 0.452 0.297 0.748
Cu 0.500 0.000 0.500
Cu 0.548 0.703 0.252
Cu 0.566 0.279 0.500
Cu 0.703 0.452 0.155
Cu 0.721 0.221 0.287
Cu 0.779 0.066 0.500
Cu 0.797 0.952 0.748
Cu 0.934 0.434 0.713
Cu 0.952 0.203 0.155
Sb 0.056 0.187 0.500
Sb 0.187 0.687 0.131
Sb 0.313 0.444 0.500
Sb 0.444 0.944 0.131
Sb 0.556 0.056 0.869
Sb 0.687 0.556 0.500
Sb 0.813 0.313 0.869
Sb 0.944 0.813 0.500